(1)
KLiPb GGA-PBE relaxed; space group = F-43m; formation energy from the elements = 0.4177 eV per atom
1.0
7.891 0.000 0.000
0.000 7.891 0.000
0.000 0.000 7.891
K Li Pb
4 4 4
Cartesian
0.000 0.000 0.000
0.000 3.945 3.945
3.945 0.000 3.945
3.945 3.945 0.000
1.973 1.973 1.973
1.973 5.918 5.918
5.918 1.973 5.918
5.918 5.918 1.973
1.973 1.973 5.918
1.973 5.918 1.973
5.918 1.973 1.973
5.918 5.918 5.918

(2)
KLiPb GGA-PBE relaxed; space group = P3m1; formation energy from the elements = -0.0671 eV per atom
1.0
5.556 0.000 0.000
-2.778 4.812 0.000
0.000 0.000 3.471
K Li Pb
1 1 1
Cartesian
0.000 0.000 0.000
2.778 1.604 1.679
0.000 3.208 1.754

(3)
KLi2Pb GGA-PBE relaxed; space group = P2/m; formation energy from the elements = -0.0948 eV per atom
1.0
3.388 0.000 0.000
0.000 4.516 0.000
-0.851 0.000 7.712
K Li Pb
1 2 1
Cartesian
0.000 0.000 0.000
1.100 2.258 5.170
1.437 2.258 2.543
-0.426 0.000 3.856

(4)
KLiPb GGA-PBE relaxed; space group = I4mm; formation energy from the elements = -0.1503 eV per atom
1.0
3.881 0.000 0.000
0.000 3.881 0.000
0.000 0.000 12.858
K Li Pb
2 2 2
Cartesian
0.000 0.000 0.000
1.941 1.941 6.429
0.000 0.000 3.656
1.941 1.941 10.085
0.000 0.000 9.025
1.941 1.941 2.596

(5)
KLi2Pb GGA-PBE relaxed; space group = I-42d; formation energy from the elements = 0.0060 eV per atom
1.0
5.405 0.000 0.000
0.000 5.405 0.000
0.000 0.000 19.420
K Li Pb
4 8 4
Cartesian
0.000 0.000 0.000
0.000 2.702 4.855
2.702 0.000 14.565
2.702 2.702 9.710
0.176 1.351 12.138
1.351 2.878 16.993
1.351 5.229 7.283
2.526 1.351 2.428
2.878 4.053 2.428
4.053 0.176 7.283
4.053 2.526 16.993
5.229 4.053 12.138
0.000 0.000 9.710
0.000 2.702 14.565
2.702 0.000 4.855
2.702 2.702 0.000

(6)
KLi2Pb GGA-PBE relaxed; space group = P4/mmm; formation energy from the elements = -0.1012 eV per atom
1.0
3.863 0.000 0.000
0.000 3.863 0.000
0.000 0.000 8.094
K Li Pb
1 2 1
Cartesian
0.000 0.000 0.000
1.931 1.931 2.684
1.931 1.931 5.410
0.000 0.000 4.047

(7)
K2LiPb2 GGA-PBE relaxed; space group = P4/mbm; formation energy from the elements = -0.0580 eV per atom
1.0
7.876 0.000 0.000
0.000 7.876 0.000
0.000 0.000 5.901
K Li Pb
4 2 4
Cartesian
1.359 2.579 0.000
2.579 6.517 0.000
5.297 1.359 0.000
6.517 5.297 0.000
0.000 0.000 2.951
3.938 3.938 2.951
1.086 5.023 2.951
2.852 1.086 2.951
5.023 6.790 2.951
6.790 2.852 2.951

(8)
KLiPb GGA-PBE relaxed; space group = F-43m; formation energy from the elements = 0.1350 eV per atom
1.0
7.486 0.000 0.000
0.000 7.486 0.000
0.000 0.000 7.486
K Li Pb
4 4 4
Cartesian
0.000 0.000 0.000
0.000 3.743 3.743
3.743 0.000 3.743
3.743 3.743 0.000
1.872 1.872 1.872
1.872 5.615 5.615
5.615 1.872 5.615
5.615 5.615 1.872
0.000 0.000 3.743
0.000 3.743 0.000
3.743 0.000 0.000
3.743 3.743 3.743

(9)
K3Li2Pb7 GGA-PBE relaxed; space group = R-3m; formation energy from the elements = -0.1678 eV per atom
1.0
3.423 1.976 9.652
-3.423 1.976 9.652
0.000 -3.953 9.652
K Li Pb
3 2 7
Cartesian
0.000 0.000 0.000
0.000 0.000 4.109
0.000 0.000 24.846
0.000 0.000 9.705
0.000 0.000 19.251
-1.727 -0.997 11.849
0.000 -1.995 17.107
-1.727 0.997 17.107
0.000 0.000 14.478
1.727 -0.997 11.849
0.000 1.995 11.849
1.727 0.997 17.107

(10)
KLiPb GGA-PBE relaxed; space group = Imma; formation energy from the elements = -0.1482 eV per atom
1.0
6.477 0.000 0.000
0.000 6.613 0.000
0.000 0.000 8.779
K Li Pb
4 4 4
Cartesian
0.000 1.653 1.112
0.000 4.960 7.667
3.239 1.653 3.277
3.239 4.960 5.502
1.619 1.653 6.584
1.619 4.960 2.195
4.858 1.653 6.584
4.858 4.960 2.195
0.000 0.000 4.389
0.000 3.307 4.389
3.239 0.000 0.000
3.239 3.307 0.000

(11)
KLi2Pb GGA-PBE relaxed; space group = F-43m; formation energy from the elements = 0.0111 eV per atom
1.0
7.769 0.000 0.000
0.000 7.769 0.000
0.000 0.000 7.769
K Li Pb
4 8 4
Cartesian
0.000 0.000 0.000
0.000 3.885 3.885
3.885 0.000 3.885
3.885 3.885 0.000
0.000 0.000 3.885
0.000 3.885 0.000
1.942 1.942 5.827
1.942 5.827 1.942
3.885 0.000 0.000
3.885 3.885 3.885
5.827 1.942 1.942
5.827 5.827 5.827
1.942 1.942 1.942
1.942 5.827 5.827
5.827 1.942 5.827
5.827 5.827 1.942

(12)
KLiPb GGA-PBE relaxed; space group = P3m1; formation energy from the elements = 0.0235 eV per atom
1.0
3.844 0.000 0.000
-1.922 3.329 0.000
0.000 0.000 7.978
K Li Pb
1 1 1
Cartesian
0.000 0.000 0.000
1.922 1.110 3.137
0.000 2.220 5.081

(13)
KLi2Pb9 GGA-PBE relaxed; space group = P6/mmm; formation energy from the elements = -0.0939 eV per atom
1.0
9.669 0.000 0.000
-4.834 8.373 0.000
0.000 0.000 4.701
K Li Pb
1 2 9
Cartesian
0.000 0.000 0.000
0.000 5.582 0.000
4.834 2.791 0.000
-2.417 4.187 0.000
0.000 3.533 2.350
-1.775 6.607 2.350
3.060 1.766 2.350
4.834 0.000 0.000
2.417 4.187 0.000
1.775 6.607 2.350
6.609 1.766 2.350
4.834 4.841 2.350

(14)
K4LiPb GGA-PBE relaxed; space group = F-43m; formation energy from the elements = 0.2416 eV per atom
1.0
0.000 5.204 5.204
5.204 0.000 5.204
5.204 5.204 0.000
K Li Pb
4 1 1
Cartesian
3.915 3.915 3.915
6.493 6.493 3.915
6.493 3.915 6.493
3.915 6.493 6.493
0.000 0.000 0.000
7.806 7.806 7.806

(15)
KLiPb6 GGA-PBE relaxed; space group = P4/mmm; formation energy from the elements = -0.0889 eV per atom
1.0
4.884 0.000 0.000
0.000 4.884 0.000
0.000 0.000 11.199
K Li Pb
1 1 6
Cartesian
0.000 0.000 0.000
0.000 0.000 5.600
0.000 2.442 3.729
0.000 2.442 7.470
2.442 0.000 3.729
2.442 0.000 7.470
2.442 2.442 1.628
2.442 2.442 9.571

(16)
KLi2Pb GGA-PBE relaxed; space group = R-3m; formation energy from the elements = -0.1638 eV per atom
1.0
4.906 0.000 0.000
-2.453 4.249 0.000
0.000 0.000 18.036
K Li Pb
3 6 3
Cartesian
0.000 0.000 0.000
0.000 2.832 12.024
2.453 1.416 6.012
0.000 0.000 3.439
0.000 0.000 14.597
0.000 2.832 8.585
0.000 2.832 15.462
2.453 1.416 2.573
2.453 1.416 9.450
0.000 0.000 9.018
0.000 2.832 3.006
2.453 1.416 15.030

(17)
KLi2Pb GGA-PBE relaxed; space group = Imm2; formation energy from the elements = -0.0621 eV per atom
1.0
3.837 0.000 0.000
0.000 5.478 0.000
0.000 0.000 10.695
K Li Pb
2 4 2
Cartesian
0.000 0.000 0.000
1.919 2.739 5.347
0.000 0.000 5.470
0.000 2.739 8.291
1.919 0.000 2.943
1.919 2.739 0.123
0.000 2.739 2.386
1.919 0.000 7.733

(18)
KLi2Pb GGA-PBE relaxed; space group = R-3m; formation energy from the elements = 0.0282 eV per atom
1.0
3.766 0.000 0.000
-1.883 3.262 0.000
0.000 0.000 31.890
K Li Pb
3 6 3
Cartesian
0.000 0.000 0.000
0.000 2.174 21.260
1.883 1.087 10.630
0.000 0.000 7.371
0.000 0.000 24.519
0.000 2.174 13.889
0.000 2.174 28.631
1.883 1.087 3.259
1.883 1.087 18.001
0.000 0.000 15.945
0.000 2.174 5.315
1.883 1.087 26.575

(19)
K2LiPb6 GGA-PBE relaxed; space group = Immm; formation energy from the elements = -0.1226 eV per atom
1.0
-3.698 3.874 5.206
3.698 -3.874 5.206
3.698 3.874 -5.206
K Li Pb
2 1 6
Cartesian
0.000 0.000 2.303
0.000 0.000 8.109
3.698 0.000 0.000
3.698 0.000 2.980
1.836 2.319 0.000
1.862 -1.555 5.206
1.836 5.429 0.000
1.862 1.555 5.206
0.000 3.874 2.226

(20)
KLi2Pb GGA-PBE relaxed; space group = R3m; formation energy from the elements = -0.1483 eV per atom
1.0
4.921 0.000 0.000
-2.460 4.262 0.000
0.000 0.000 18.998
K Li Pb
3 6 3
Cartesian
0.000 0.000 0.000
0.000 2.841 12.666
2.460 1.421 6.333
0.000 0.000 9.819
0.000 0.000 15.615
0.000 2.841 3.487
0.000 2.841 9.282
2.460 1.421 2.949
2.460 1.421 16.152
0.000 0.000 3.652
0.000 2.841 16.317
2.460 1.421 9.985